1.
Below is crystalline LiZn8Ni5 at its relaxed geometry, with properties calculated at the PBE-GGA level.

Cell lengths 6.261, 6.261, 6.261 Å; angles 110.93, 110.93, 106.59 degrees
Fractional coordinates of all 14 atoms:
Li: 0.000 0.000 0.000
Zn: 0.113 0.350 0.435
Zn: 0.164 0.402 0.903
Zn: 0.322 0.887 0.237
Zn: 0.499 0.261 0.097
Zn: 0.598 0.501 0.763
Zn: 0.650 0.085 0.763
Zn: 0.739 0.836 0.237
Zn: 0.915 0.678 0.565
Ni: 0.205 0.045 0.585
Ni: 0.380 0.795 0.840
Ni: 0.460 0.620 0.415
Ni: 0.750 0.250 0.500
Ni: 0.955 0.540 0.160

## Properties
Energy of formation in eV per atom: -0.10
Calculated total energy in eV/atom: -3.02
DOS at the Fermi energy in states/eV/f.u.: 5.11



2.
Below is crystalline La2HgI6 at its relaxed geometry, with properties calculated at the PBE-GGA level.

Cell lengths 8.217, 8.217, 9.240 Å; angles 90.00, 90.00, 120.00 degrees
Fractional coordinates of all 9 atoms:
La: 0.333 0.667 0.000
La: 0.667 0.333 0.000
Hg: 0.000 0.000 0.500
I: 0.000 0.371 0.200
I: 0.000 0.629 0.800
I: 0.371 0.000 0.200
I: 0.371 0.371 0.800
I: 0.629 0.000 0.800
I: 0.629 0.629 0.200

## Properties
ΔE_f (raw) in eV/atom: -1.33
Calculated total energy in eV/atom: -3.50
DOS at the Fermi energy in states/eV/f.u.: 0.00



3.
Below is crystalline BaTiSe3 at its relaxed geometry, with properties calculated at the PBE-GGA level.

Cell lengths 7.136, 7.136, 6.123 Å; angles 95.72, 95.72, 59.32 degrees
Fractional coordinates of all 10 atoms:
Ba: 0.163 0.163 0.249
Ba: 0.837 0.837 0.751
Ti: 0.500 0.500 0.000
Ti: 0.500 0.500 0.500
Se: 0.161 0.667 0.231
Se: 0.333 0.333 0.712
Se: 0.333 0.839 0.769
Se: 0.667 0.161 0.231
Se: 0.667 0.667 0.288
Se: 0.839 0.333 0.769

## Properties
ΔE_f (raw) in eV/atom: -1.49
Calculated total energy in eV/atom: -5.55
DOS at the Fermi energy in states/eV/f.u.: 2.36



4.
Below is crystalline La7Co2AgPb2 at its relaxed geometry, with properties calculated at the PBE-GGA level.

Cell lengths 14.590, 14.590, 14.590 Å; angles 159.56, 159.56, 29.07 degrees
Fractional coordinates of all 12 atoms:
La: 0.000 0.000 0.000
La: 0.098 0.598 0.500
La: 0.203 0.203 0.000
La: 0.402 0.902 0.500
La: 0.598 0.098 0.500
La: 0.797 0.797 0.000
La: 0.902 0.402 0.500
Co: 0.094 0.094 0.000
Co: 0.906 0.906 0.000
Ag: 0.500 0.500 0.000
Pb: 0.319 0.319 0.000
Pb: 0.681 0.681 0.000

## Properties
Energy of formation in eV per atom: -0.29
Calculated total energy in eV/atom: -5.20
DOS at the Fermi energy in states/eV/f.u.: 11.65



5.
Below is crystalline TiNbTeCl2 at its relaxed geometry, with properties calculated at the PBE-GGA level.

Cell lengths 4.710, 4.710, 5.992 Å; angles 90.00, 90.00, 90.00 degrees
Fractional coordinates of all 5 atoms:
Ti: 0.000 0.000 0.000
Nb: 0.500 0.500 0.500
Te: 0.500 0.500 0.000
Cl: 0.000 0.500 0.500
Cl: 0.500 0.000 0.500

## Properties
ΔE_f (raw) in eV/atom: -0.04
Calculated total energy in eV/atom: -5.00
DOS at the Fermi energy in states/eV/f.u.: 7.77



6.
Below is crystalline MgTl2Hg at its relaxed geometry, with properties calculated at the PBE-GGA level.

Cell lengths 10.361, 10.361, 10.361 Å; angles 19.59, 19.59, 19.59 degrees
Fractional coordinates of all 4 atoms:
Mg: 0.000 0.000 0.000
Tl: 0.252 0.252 0.252
Tl: 0.414 0.414 0.414
Hg: 0.833 0.833 0.833

## Properties
Energy of formation in eV per atom: 0.02
Calculated total energy in eV/atom: -1.64
DOS at the Fermi energy in states/eV/f.u.: 2.02



7.
Below is crystalline Nd3Co4 at its relaxed geometry, with properties calculated at the PBE-GGA level.

Cell lengths 9.105, 9.105, 9.105 Å; angles 154.92, 153.29, 36.97 degrees
Fractional coordinates of all 7 atoms:
Nd: 0.000 0.000 0.000
Nd: 0.185 0.685 0.500
Nd: 0.815 0.315 0.500
Co: 0.369 0.869 0.500
Co: 0.433 0.433 0.000
Co: 0.567 0.567 0.000
Co: 0.631 0.131 0.500

## Properties
Energy of formation in eV per atom: -0.08
Calculated total energy in eV/atom: -6.18
DOS at the Fermi energy in states/eV/f.u.: 6.99



8.
Below is crystalline CaSmHg4 at its relaxed geometry, with properties calculated at the PBE-GGA level.

Cell lengths 6.017, 6.017, 6.017 Å; angles 60.00, 60.00, 60.00 degrees
Fractional coordinates of all 6 atoms:
Ca: 0.000 0.000 0.000
Sm: 0.750 0.750 0.750
Hg: 0.375 0.375 0.375
Hg: 0.375 0.375 0.874
Hg: 0.375 0.874 0.375
Hg: 0.874 0.375 0.375

## Properties
Energy of formation in eV per atom: -0.26
Calculated total energy in eV/atom: -1.58
DOS at the Fermi energy in states/eV/f.u.: 4.50



no.,magnetic moment (μB/f.u.),mass density (g/cm³)
1,0.00,7.3
2,0.00,3.8
3,0.00,5.3
4,0.00,7.1
5,2.38,4.2
6,0.00,9.6
7,2.28,7.7
8,0.00,10.7